SrIrCl2 | GGA-PBE | optimized geometry

Cell and atoms, written as POSCAR:
```
SrIrCl2
1.0
4.933 0.000 0.000
0.000 4.933 0.000
0.000 0.000 16.143
Sr Ir Cl
4 4 8
Direct
0.000 0.000 0.000
0.000 0.500 0.250
0.500 0.000 0.750
0.500 0.500 0.500
0.000 0.000 0.500
0.000 0.500 0.750
0.500 0.000 0.250
0.500 0.500 0.000
0.177 0.250 0.625
0.250 0.677 0.875
0.250 0.823 0.375
0.323 0.250 0.125
0.677 0.750 0.125
0.750 0.177 0.375
0.750 0.323 0.875
0.823 0.750 0.625
```

Excess energy over the best structure of this formula in the dataset ... 259 meV per atom
Formation energy from raw total energies ... -50 kJ per mole of atoms
D(E_F) ... 0.82 states/eV per atom
Space-group type ... I-42d, No. 122